Below is an optimized crystal structure of Pr4MnSb9, with properties calculated at the PBE level.

Output
VASP energy = -149.9 eV/cell
space-group type = C2/m
crystal system = monoclinic
calculated density = 7.032 g/cm³

a = 12.3772 Å, b = 12.3772 Å, c = 15.8337 Å
α = 97.87°, β = 97.87°, γ = 19.70°
Sites, in units of the cell vectors:
Pr 0.0590 0.0590 0.3200
Pr 0.0662 0.0662 0.8919
Pr 0.1134 0.1134 0.6409
Pr 0.2058 0.2058 0.1125
Pr 0.7942 0.7942 0.8875
Pr 0.8866 0.8866 0.3591
Pr 0.9338 0.9338 0.1081
Pr 0.9410 0.9410 0.6800
Mn 0.2702 0.2702 0.6246
Mn 0.7298 0.7298 0.3754
Sb 0.0000 0.0000 0.5000
Sb 0.0720 0.0720 0.1145
Sb 0.1918 0.1918 0.8330
Sb 0.1934 0.1934 0.4716
Sb 0.2821 0.2821 0.3058
Sb 0.3342 0.3342 0.0429
Sb 0.3586 0.3586 0.7706
Sb 0.4084 0.4084 0.5203
Sb 0.4597 0.4597 0.2640
Sb 0.5000 0.5000 0.0000
Sb 0.5403 0.5403 0.7360
Sb 0.5916 0.5916 0.4797
Sb 0.6414 0.6414 0.2294
Sb 0.6658 0.6658 0.9571
Sb 0.7179 0.7179 0.6942
Sb 0.8066 0.8066 0.5284
Sb 0.8082 0.8082 0.1670
Sb 0.9280 0.9280 0.8855

Below is an optimized crystal structure of PrSc3Mn, with properties calculated at the PBE level.

Output
ΔE_f = 10.89 kJ/mol of atoms
space-group type = Pm-3m
crystal system = cubic
calculated density = 4.423 g/cm³

a = 4.9887 Å, b = 4.9887 Å, c = 4.9887 Å
α = 90.00°, β = 90.00°, γ = 90.00°
Sites, in units of the cell vectors:
Pr 0.0000 0.0000 0.0000
Sc 0.0000 0.5000 0.5000
Sc 0.5000 0.0000 0.5000
Sc 0.5000 0.5000 0.0000
Mn 0.5000 0.5000 0.5000

Below is an optimized crystal structure of Pr2ScMnSe5, with properties calculated at the PBE level.

Output
VASP energy = -112.3 eV/cell
space-group type = Cmc2_1
crystal system = orthorhombic
calculated density = 5.920 g/cm³

a = 9.0250 Å, b = 9.0250 Å, c = 12.2132 Å
α = 90.00°, β = 90.00°, γ = 154.03°
Sites, in units of the cell vectors:
Pr 0.1148 0.8852 0.5000
Pr 0.1283 0.8717 0.1208
Pr 0.8717 0.1283 0.6208
Pr 0.8852 0.1148 0.0000
Sc 0.1964 0.8036 0.8231
Sc 0.8036 0.1964 0.3231
Mn 0.4369 0.5631 0.2608
Mn 0.5631 0.4369 0.7608
Se 0.0482 0.9518 0.8738
Se 0.2881 0.7119 0.4760
Se 0.3072 0.6928 0.1667
Se 0.3539 0.6461 0.8125
Se 0.4978 0.5022 0.5856
Se 0.5022 0.4978 0.0856
Se 0.6461 0.3539 0.3125
Se 0.6928 0.3072 0.6667
Se 0.7119 0.2881 0.9760
Se 0.9518 0.0482 0.3738

Below is an optimized crystal structure of PrScMnSi2, with properties calculated at the PBE level.

Output
VASP energy = -67.9 eV/cell
space-group type = I-4m2
crystal system = tetragonal
calculated density = 5.000 g/cm³

a = 4.1817 Å, b = 4.1817 Å, c = 11.2815 Å
α = 90.00°, β = 90.00°, γ = 90.00°
Sites, in units of the cell vectors:
Pr 0.0000 0.0000 0.0000
Pr 0.5000 0.5000 0.5000
Sc 0.0000 0.5000 0.7500
Sc 0.5000 0.0000 0.2500
Mn 0.0000 0.5000 0.2500
Mn 0.5000 0.0000 0.7500
Si 0.0000 0.0000 0.3920
Si 0.0000 0.0000 0.6080
Si 0.5000 0.5000 0.1080
Si 0.5000 0.5000 0.8920

Below is an optimized crystal structure of Pr6MnSe8, with properties calculated at the PBE level.

Output
VASP energy = -89.9 eV/cell
space-group type = R-3
crystal system = trigonal
calculated density = 6.327 g/cm³

a = 7.8712 Å, b = 7.8712 Å, c = 7.8712 Å
α = 67.81°, β = 67.81°, γ = 67.81°
Sites, in units of the cell vectors:
Pr 0.0836 0.6971 0.4654
Pr 0.3029 0.5346 0.9164
Pr 0.4654 0.0836 0.6971
Pr 0.5346 0.9164 0.3029
Pr 0.6971 0.4654 0.0836
Pr 0.9164 0.3029 0.5346
Mn 0.0000 0.0000 0.0000
Se 0.0911 0.3459 0.8234
Se 0.1766 0.9089 0.6541
Se 0.3281 0.3281 0.3281
Se 0.3459 0.8234 0.0911
Se 0.6541 0.1766 0.9089
Se 0.6719 0.6719 0.6719
Se 0.8234 0.0911 0.3459
Se 0.9089 0.6541 0.1766

Below is an optimized crystal structure of Pr2MnSe4, with properties calculated at the PBE level.

Output
VASP energy = -84.8 eV/cell
space-group type = C2/m
crystal system = monoclinic
calculated density = 6.235 g/cm³

a = 11.7151 Å, b = 4.0547 Å, c = 8.3097 Å
α = 90.00°, β = 118.29°, γ = 90.00°
Sites, in units of the cell vectors:
Pr 0.1665 0.0000 0.1911
Pr 0.3335 0.5000 0.8089
Pr 0.6665 0.5000 0.1911
Pr 0.8335 0.0000 0.8089
Mn 0.0000 0.5000 0.5000
Mn 0.5000 0.0000 0.5000
Se 0.0742 0.5000 0.8698
Se 0.1557 0.0000 0.5492
Se 0.3443 0.5000 0.4508
Se 0.4258 0.0000 0.1302
Se 0.5742 0.0000 0.8698
Se 0.6557 0.5000 0.5492
Se 0.8443 0.0000 0.4508
Se 0.9258 0.5000 0.1302

Below is an optimized crystal structure of PrMnSe2, with properties calculated at the PBE level.

Output
VASP energy = -69.1 eV/cell
space-group type = R-3m
crystal system = trigonal
calculated density = 5.386 g/cm³

a = 3.8243 Å, b = 3.8243 Å, c = 25.8360 Å
α = 90.00°, β = 90.00°, γ = 120.00°
Sites, in units of the cell vectors:
Pr 0.0000 0.0000 0.0000
Pr 0.3333 0.6667 0.6667
Pr 0.6667 0.3333 0.3333
Mn 0.0000 0.0000 0.5000
Mn 0.3333 0.6667 0.1667
Mn 0.6667 0.3333 0.8333
Se 0.0000 0.0000 0.1125
Se 0.0000 0.0000 0.8875
Se 0.3333 0.6667 0.5542
Se 0.3333 0.6667 0.7791
Se 0.6667 0.3333 0.2209
Se 0.6667 0.3333 0.4458

Below is an optimized crystal structure of Pr3MnSe6, with properties calculated at the PBE level.

Output
VASP energy = -118.3 eV/cell
space-group type = Cmc2_1
crystal system = orthorhombic
calculated density = 5.475 g/cm³

a = 9.1369 Å, b = 9.1369 Å, c = 7.0561 Å
α = 90.00°, β = 90.00°, γ = 101.57°
Sites, in units of the cell vectors:
Pr 0.1020 0.8980 0.5000
Pr 0.2194 0.4172 0.4062
Pr 0.4172 0.2194 0.9062
Pr 0.5828 0.7806 0.4062
Pr 0.7806 0.5828 0.9062
Pr 0.8980 0.1020 0.0000
Mn 0.3016 0.6984 0.8665
Mn 0.6984 0.3016 0.3665
Se 0.0727 0.5945 0.6995
Se 0.1318 0.1913 0.7024
Se 0.1913 0.1318 0.2024
Se 0.2789 0.7211 0.2121
Se 0.4055 0.9273 0.6995
Se 0.4602 0.5398 0.7163
Se 0.5398 0.4602 0.2163
Se 0.5945 0.0727 0.1995
Se 0.7211 0.2789 0.7121
Se 0.8087 0.8682 0.7024
Se 0.8682 0.8087 0.2024
Se 0.9273 0.4055 0.1995